Si3SeI (PBE-GGA, relaxed); total moment = 0.00 μB/cell; total DFT energy (no corrections) = -15.93 eV per formula unit; formation energy (no corrections) = 1.0757 eV per atom; ΔE to the lowest computed polymorph = 0.000 eV per atom
1.0
5.113 0.000 0.000
0.000 5.113 0.000
0.000 0.000 5.113
Si Se I
3 1 1
Cartesian
0.000 0.000 2.556
0.000 2.556 0.000
2.556 0.000 0.000
0.000 0.000 0.000
2.556 2.556 2.556